Compound: BaHgRh2
Source: the Alexandria database
Functional: SCAN
Structure: PBEsol geometry Values from VASP.

Calculated values
The value obtained for the calculated formation energy is 1.66 eV/f.u. The space-group type is F-43m. As for the crystal system: cubic. The calculation puts the total energy at -173.6 eV for the cell shown.

Geometry as Quantum ESPRESSO input:
```
&SYSTEM
  ibrav = 0, nat = 4, ntyp = 3
/
ATOMIC_SPECIES
Ba 137.33 Ba.upf
Hg 200.59 Hg.upf
Rh 102.91 Rh.upf
ATOMIC_POSITIONS angstrom
Ba 4.9050 2.8319 2.0025
Hg 2.4525 1.4159 1.0012
Rh 0.0000 0.0000 0.0000
Rh 7.3575 4.2478 3.0037
CELL_PARAMETERS angstrom
4.9050 0.0000 0.0000
2.4525 4.2478 0.0000
2.4525 1.4159 4.0049
```

Compound: MnCuRu2
Source: the Alexandria database
Functional: SCAN
Structure: PBEsol geometry Values from VASP.

Calculated values
The value obtained for the calculated formation energy is 0.20 eV/f.u. The space-group type is I-4m2. As for the crystal system: tetragonal. The calculation puts the total energy at -102.9 eV for the cell shown.

Geometry as Quantum ESPRESSO input:
```
&SYSTEM
  ibrav = 0, nat = 4, ntyp = 3
/
ATOMIC_SPECIES
Cu 63.55 Cu.upf
Mn 54.94 Mn.upf
Ru 101.07 Ru.upf
ATOMIC_POSITIONS angstrom
Cu -1.6075 -0.3576 -1.9777
Mn 0.0051 -2.2995 -1.2628
Ru 0.0000 0.0000 0.0000
Ru -1.9883 -1.6934 0.2479
CELL_PARAMETERS angstrom
-3.6008 0.2484 -0.4670
0.3859 -0.9637 -3.4883
1.2318 -3.2776 2.9404
```